Record 1
La2TmPb3 | Alexandria | PBE | optimized geometry; space-group type = Cmmm; relative energy among the computed polymorphs = 0.0 kJ/mol of formula units; VASP energy = -56.7 eV/cell; density of states at the Fermi level = 5.925 states/eV/f.u.; energy relative to the elements = -0.4843 eV/atom
1.0
2.9561 -8.7794 0.0000
2.9561 8.7794 0.0000
0.0000 0.0000 7.0889
La Tm Pb
4 2 6
Cartesian
0.0000 0.0000 0.0000
0.0000 0.0000 3.5445
2.9561 2.8660 0.0000
2.9561 -2.8660 0.0000
2.9561 2.9001 3.5445
2.9561 -2.9001 3.5445
2.9561 5.7583 1.9095
2.9561 5.7583 5.1794
2.9561 0.0000 1.8838
2.9561 0.0000 5.2052
2.9561 -5.7583 1.9095
2.9561 -5.7583 5.1794

***

Record 2
Li2TlGeC | Alexandria | PBE | optimized geometry; space-group type = P4/mmm; VASP energy = -18.3 eV/cell; density of states at the Fermi level = 1.603 states/eV/f.u.; energy relative to the elements = 0.3504 eV/atom
1.0
4.5180 0.0000 0.0000
0.0000 4.5180 0.0000
0.0000 0.0000 4.0467
Li Tl Ge C
2 1 1 1
Cartesian
0.0000 2.2590 0.0000
2.2590 0.0000 0.0000
0.0000 0.0000 2.0234
2.2590 2.2590 2.0234
2.2590 2.2590 0.0000

***

Record 3
Li4ErPb2 | Alexandria | PBE | optimized geometry; space-group type = R-3m; VASP energy = -22.2 eV/cell; density of states at the Fermi level = 3.064 states/eV/f.u.; energy relative to the elements = -0.3641 eV/atom
1.0
2.3896 1.3797 7.7649
-2.3896 1.3797 7.7649
0.0000 -2.7593 7.7649
Li Er Pb
4 1 2
Cartesian
0.0000 0.0000 1.8470
0.0000 0.0000 8.4644
0.0000 0.0000 14.8302
0.0000 0.0000 21.4476
0.0000 0.0000 11.6473
0.0000 0.0000 5.5463
0.0000 0.0000 17.7483

***

Record 4
Zn4Ga5 | Alexandria | PBE | optimized geometry; space-group type = I4/m; relative energy among the computed polymorphs = 0.0 kJ/mol of formula units; VASP energy = -19.1 eV/cell; density of states at the Fermi level = 3.861 states/eV/f.u.; energy relative to the elements = 0.1222 eV/atom
1.0
-4.5102 4.5102 2.0984
4.5102 -4.5102 2.0984
4.5102 4.5102 -2.0984
Zn Ga
4 5
Cartesian
7.1134 1.5917 0.0000
1.5917 1.9069 0.0000
2.9185 2.6032 2.0984
-2.6032 2.9185 2.0984
0.0000 0.0000 0.0000
4.4079 1.5143 0.0000
2.9958 -0.1022 2.0984
1.5143 4.6124 0.0000
0.1022 2.9958 2.0984

***

Record 5
Rb2TmUSe4 | Alexandria | PBE | optimized geometry; space-group type = P2/m; energy relative to the elements, uncorrected = -1445 meV/atom; VASP energy = -43.2 eV/cell; density of states at the Fermi level = 7.490 states/eV/f.u.
1.0
7.3374 0.0000 0.0000
0.0000 4.2267 0.0000
-2.4357 0.0000 8.0196
Rb Tm U Se
2 1 1 4
Cartesian
0.0000 0.0000 0.0000
3.6687 2.1133 0.0000
-1.2179 2.1133 4.0098
2.4508 0.0000 4.0098
-0.0329 0.0000 5.5714
1.1864 2.1133 2.4298
3.7152 2.1133 5.5898
4.9345 0.0000 2.4482

***

Record 6
LiEuScPb | Alexandria | PBE | optimized geometry; space-group type = F-43m; VASP energy = -23.2 eV/cell; density of states at the Fermi level = 7.776 states/eV/f.u.; energy relative to the elements = -0.2484 eV/atom
1.0
0.0000 3.7382 3.7382
3.7382 0.0000 3.7382
3.7382 3.7382 0.0000
Li Eu Sc Pb
1 1 1 1
Cartesian
0.0000 0.0000 0.0000
1.8691 1.8691 1.8691
5.6073 5.6073 5.6073
3.7382 3.7382 3.7382